Entry 1:
Density functional theory data (PBE) for a geometry-optimized KZrRu2 structure.

Values from the calculation:
energy of formation = 49.0 kJ/mol of atoms
E above lowest polymorph = 105 meV/atom
space group = P2/m, No. 10
N(E_F) = 3.33 states/eV per cell

a b c (Å): 2.976 4.310 7.331
angles (deg): 90.00 98.03 90.00
Positions (direct):
K (0.000, 0.000, 0.000)
Zr (0.500, 0.000, 0.500)
Ru (0.262, 0.500, 0.656)
Ru (0.738, 0.500, 0.344)

Entry 2:
Density functional theory data (PBE) for a geometry-optimized KZrRu4 structure.

Values from the calculation:
energy of formation = 46.9 kJ/mol of atoms
space group = F-43m, No. 216
N(E_F) = 10.23 states/eV per cell

a b c (Å): 5.307 5.307 5.307
angles (deg): 60.00 60.00 60.00
Positions (direct):
K (0.000, 0.000, 0.000)
Zr (0.250, 0.250, 0.250)
Ru (0.127, 0.624, 0.624)
Ru (0.624, 0.127, 0.624)
Ru (0.624, 0.624, 0.127)
Ru (0.624, 0.624, 0.624)

Entry 3:
Density functional theory data (PBE) for a geometry-optimized KZrRu2 structure.

Values from the calculation:
energy of formation = 43.4 kJ/mol of atoms
E above lowest polymorph = 47 meV/atom
space group = R-3m, No. 166
N(E_F) = 2.75 states/eV per cell

a b c (Å): 9.609 9.609 9.609
angles (deg): 18.96 18.96 18.96
Positions (direct):
K (0.000, 0.000, 0.000)
Zr (0.500, 0.500, 0.500)
Ru (0.236, 0.236, 0.236)
Ru (0.764, 0.764, 0.764)

Entry 4:
Density functional theory data (PBE) for a geometry-optimized KZrRu2 structure.

Values from the calculation:
energy of formation = 80.1 kJ/mol of atoms
E above lowest polymorph = 427 meV/atom
space group = Immm, No. 71
N(E_F) = 2.25 states/eV per cell

a b c (Å): 5.559 5.559 5.559
angles (deg): 146.95 123.10 67.40
Positions (direct):
K (0.000, 0.000, 0.000)
Zr (0.500, 0.500, 0.000)
Ru (0.272, 0.772, 0.500)
Ru (0.728, 0.228, 0.500)

Entry 5:
Density functional theory data (PBE) for a geometry-optimized KZrRu2 structure.

Values from the calculation:
energy of formation = 42.5 kJ/mol of atoms
E above lowest polymorph = 37 meV/atom
space group = Cmmm, No. 65
N(E_F) = 3.20 states/eV per cell

a b c (Å): 2.997 2.997 9.661
angles (deg): 90.00 90.00 113.41
Positions (direct):
K (0.000, 0.000, 0.000)
Zr (0.000, 0.000, 0.500)
Ru (0.500, 0.500, 0.289)
Ru (0.500, 0.500, 0.711)

Entry 6:
Density functional theory data (PBE) for a geometry-optimized KS3 structure.

Values from the calculation:
energy relative to the elements, uncorrected = -0.462 eV per atom
E above lowest polymorph = 65 meV/atom
space group = Cmcm, No. 63
N(E_F) = 1.57 states/eV per cell

a b c (Å): 6.477 6.477 6.534
angles (deg): 90.00 90.00 104.53
Positions (direct):
K (0.192, 0.808, 0.750)
K (0.808, 0.192, 0.250)
S (0.133, 0.287, 0.750)
S (0.187, 0.813, 0.250)
S (0.287, 0.133, 0.250)
S (0.713, 0.867, 0.750)
S (0.813, 0.187, 0.750)
S (0.867, 0.713, 0.250)

Entry 7:
Density functional theory data (PBE) for a geometry-optimized KS2 structure.

Values from the calculation:
energy relative to the elements, uncorrected = -0.394 eV per atom
E above lowest polymorph = 270 meV/atom
space group = Pnma, No. 62
N(E_F) = 1.94 states/eV per cell

a b c (Å): 6.808 3.861 11.465
angles (deg): 90.00 90.00 90.00
Positions (direct):
K (0.153, 0.250, 0.145)
K (0.347, 0.750, 0.645)
K (0.653, 0.250, 0.355)
K (0.847, 0.750, 0.855)
S (0.105, 0.250, 0.457)
S (0.250, 0.250, 0.872)
S (0.250, 0.750, 0.372)
S (0.395, 0.750, 0.957)
S (0.605, 0.250, 0.043)
S (0.750, 0.250, 0.628)
S (0.750, 0.750, 0.128)
S (0.895, 0.750, 0.543)

Entry 8:
Density functional theory data (PBE) for a geometry-optimized KS6 structure.

Values from the calculation:
energy relative to the elements, uncorrected = -0.236 eV per atom
space group = P2_1/c, No. 14

a b c (Å): 6.001 9.473 15.951
angles (deg): 90.00 105.97 90.00
Positions (direct):
K (0.152, 0.033, 0.195)
K (0.152, 0.467, 0.695)
K (0.848, 0.533, 0.305)
K (0.848, 0.967, 0.805)
S (0.006, 0.214, 0.339)
S (0.006, 0.286, 0.839)
S (0.204, 0.174, 0.551)
S (0.204, 0.326, 0.051)
S (0.282, 0.095, 0.682)
S (0.282, 0.405, 0.182)
S (0.311, 0.622, 0.181)
S (0.311, 0.878, 0.681)
S (0.435, 0.553, 0.436)
S (0.435, 0.947, 0.936)
S (0.479, 0.739, 0.965)
S (0.479, 0.761, 0.465)
S (0.521, 0.239, 0.535)
S (0.521, 0.261, 0.035)
S (0.565, 0.053, 0.064)
S (0.565, 0.447, 0.564)
S (0.689, 0.122, 0.319)
S (0.689, 0.378, 0.819)
S (0.718, 0.595, 0.818)
S (0.718, 0.905, 0.318)
S (0.796, 0.674, 0.949)
S (0.796, 0.826, 0.449)
S (0.994, 0.714, 0.161)
S (0.994, 0.786, 0.661)

Entry 9:
Density functional theory data (PBE) for a geometry-optimized KS8 structure.

Values from the calculation:
energy relative to the elements, uncorrected = -0.120 eV per atom
space group = P-1, No. 2
N(E_F) = 3.26 states/eV per cell

a b c (Å): 5.736 6.719 8.591
angles (deg): 67.05 84.27 74.76
Positions (direct):
K (0.000, 0.000, 0.000)
S (0.141, 0.348, 0.568)
S (0.338, 0.446, 0.037)
S (0.390, 0.472, 0.616)
S (0.434, 0.116, 0.151)
S (0.566, 0.884, 0.849)
S (0.610, 0.528, 0.384)
S (0.662, 0.554, 0.963)
S (0.859, 0.652, 0.432)

Entry 10:
Density functional theory data (PBE) for a geometry-optimized KS3 structure.

Values from the calculation:
energy relative to the elements, uncorrected = -0.527 eV per atom
E above lowest polymorph = 0 meV/atom
space group = P2_1/c, No. 14
N(E_F) = 0.00 states/eV per cell

a b c (Å): 6.590 12.280 12.643
angles (deg): 90.00 106.52 90.00
Positions (direct):
K (0.209, 0.116, 0.426)
K (0.209, 0.384, 0.926)
K (0.284, 0.636, 0.496)
K (0.284, 0.864, 0.996)
K (0.716, 0.136, 0.004)
K (0.716, 0.364, 0.504)
K (0.791, 0.616, 0.074)
K (0.791, 0.884, 0.574)
S (0.049, 0.081, 0.848)
S (0.049, 0.419, 0.348)
S (0.130, 0.170, 0.730)
S (0.130, 0.330, 0.230)
S (0.216, 0.128, 0.005)
S (0.216, 0.372, 0.505)
S (0.279, 0.611, 0.059)
S (0.279, 0.889, 0.559)
S (0.422, 0.558, 0.217)
S (0.422, 0.942, 0.717)
S (0.441, 0.107, 0.723)
S (0.441, 0.393, 0.223)
S (0.559, 0.607, 0.777)
S (0.559, 0.893, 0.277)
S (0.578, 0.058, 0.283)
S (0.578, 0.442, 0.783)
S (0.721, 0.111, 0.441)
S (0.721, 0.389, 0.941)
S (0.784, 0.628, 0.495)
S (0.784, 0.872, 0.995)
S (0.870, 0.670, 0.770)
S (0.870, 0.830, 0.270)
S (0.951, 0.581, 0.652)
S (0.951, 0.919, 0.152)

Entry 11:
Density functional theory data (PBE) for a geometry-optimized K2S3 structure.

Values from the calculation:
energy relative to the elements, uncorrected = -0.796 eV per atom
E above lowest polymorph = 0 meV/atom
space group = Cmc2_1, No. 36

a b c (Å): 6.287 6.287 7.576
angles (deg): 90.00 90.00 108.70
Positions (direct):
K (0.082, 0.918, 0.500)
K (0.394, 0.606, 0.730)
K (0.606, 0.394, 0.230)
K (0.918, 0.082, 0.000)
S (0.113, 0.427, 0.343)
S (0.300, 0.700, 0.189)
S (0.427, 0.113, 0.843)
S (0.573, 0.887, 0.343)
S (0.700, 0.300, 0.689)
S (0.887, 0.573, 0.843)

Entry 12:
Density functional theory data (PBE) for a geometry-optimized KS2 structure.

Values from the calculation:
energy relative to the elements, uncorrected = -0.513 eV per atom
E above lowest polymorph = 150 meV/atom
space group = C2/m, No. 12
N(E_F) = 2.14 states/eV per cell

a b c (Å): 4.486 4.486 5.482
angles (deg): 113.96 113.96 90.01
Positions (direct):
K (0.000, 0.000, 0.000)
S (0.389, 0.389, 0.776)
S (0.611, 0.611, 0.224)

Entry 13:
Density functional theory data (PBE) for a geometry-optimized K4S structure.

Values from the calculation:
energy relative to the elements, uncorrected = -0.531 eV per atom
space group = Pm-3m, No. 221
N(E_F) = 1.64 states/eV per cell

a b c (Å): 6.347 6.347 6.347
angles (deg): 90.00 90.00 90.00
Positions (direct):
K (0.000, 0.000, 0.000)
K (0.000, 0.500, 0.500)
K (0.500, 0.000, 0.500)
K (0.500, 0.500, 0.000)
S (0.500, 0.500, 0.500)

Entry 14:
Density functional theory data (PBE) for a geometry-optimized KS2 structure.

Values from the calculation:
energy relative to the elements, uncorrected = -0.664 eV per atom
E above lowest polymorph = 0 meV/atom
space group = P1, No. 1
N(E_F) = 0.00 states/eV per cell

a b c (Å): 4.964 5.615 8.148
angles (deg): 100.05 101.72 103.45
Positions (direct):
K (0.000, 0.000, 0.000)
K (0.276, 0.503, 0.486)
S (0.018, 0.456, 0.814)
S (0.640, 0.219, 0.253)
S (0.657, 0.176, 0.669)
S (0.713, 0.006, 0.435)

Entry 15:
Density functional theory data (PBE) for a geometry-optimized K2S13 structure.

Values from the calculation:
energy relative to the elements, uncorrected = -0.059 eV per atom
space group = R-3m, No. 166

a b c (Å): 9.191 9.191 9.191
angles (deg): 53.50 53.50 53.50
Positions (direct):
K (0.128, 0.128, 0.128)
K (0.872, 0.872, 0.872)
S (0.000, 0.000, 0.000)
S (0.161, 0.561, 0.561)
S (0.255, 0.255, 0.662)
S (0.255, 0.662, 0.255)
S (0.338, 0.745, 0.745)
S (0.439, 0.439, 0.839)
S (0.439, 0.839, 0.439)
S (0.561, 0.161, 0.561)
S (0.561, 0.561, 0.161)
S (0.662, 0.255, 0.255)
S (0.745, 0.338, 0.745)
S (0.745, 0.745, 0.338)
S (0.839, 0.439, 0.439)

Entry 16:
Density functional theory data (PBE) for a geometry-optimized KS3 structure.

Values from the calculation:
energy relative to the elements, uncorrected = 0.144 eV per atom
E above lowest polymorph = 671 meV/atom
space group = Pmm2, No. 25
N(E_F) = 1.14 states/eV per cell

a b c (Å): 3.398 3.882 7.280
angles (deg): 90.00 90.00 90.00
Positions (direct):
K (0.000, 0.000, 0.000)
S (0.000, 0.500, 0.531)
S (0.500, 0.000, 0.354)
S (0.500, 0.500, 0.734)

Entry 17:
Density functional theory data (PBE) for a geometry-optimized K2S3 structure.

Values from the calculation:
energy relative to the elements, uncorrected = -0.779 eV per atom
E above lowest polymorph = 17 meV/atom
space group = Fdd2, No. 43

a b c (Å): 9.195 7.674 11.507
angles (deg): 52.81 41.67 85.52
Positions (direct):
K (0.333, 0.667, 0.394)
K (0.644, 0.856, 0.583)
K (0.667, 0.333, 0.606)
K (0.856, 0.644, 0.917)
S (0.147, 0.354, 0.881)
S (0.249, 0.249, 0.251)
S (0.354, 0.147, 0.618)
S (0.369, 0.632, 0.103)
S (0.632, 0.369, 0.896)
S (0.999, 0.999, 0.001)

Entry 18:
Density functional theory data (PBE) for a geometry-optimized K2Sb2S5 structure.

Values from the calculation:
energy relative to the elements, uncorrected = -0.527 eV per atom
E above lowest polymorph = 45 meV/atom
space group = C2/m, No. 12

a b c (Å): 7.659 7.659 7.516
angles (deg): 106.72 106.72 41.77
Positions (direct):
K (0.112, 0.112, 0.323)
K (0.888, 0.888, 0.677)
Sb (0.350, 0.350, 0.127)
Sb (0.650, 0.650, 0.873)
S (0.173, 0.173, 0.936)
S (0.353, 0.353, 0.438)
S (0.500, 0.500, 0.000)
S (0.647, 0.647, 0.562)
S (0.827, 0.827, 0.064)

Entry 19:
Density functional theory data (PBE) for a geometry-optimized K2SbS3 structure.

Values from the calculation:
energy relative to the elements, uncorrected = -0.750 eV per atom
space group = Cmce, No. 64
N(E_F) = 0.23 states/eV per cell

a b c (Å): 7.900 7.900 15.409
angles (deg): 90.00 90.00 119.49
Positions (direct):
K (0.040, 0.960, 0.844)
K (0.141, 0.859, 0.425)
K (0.359, 0.641, 0.925)
K (0.460, 0.540, 0.344)
K (0.540, 0.460, 0.656)
K (0.641, 0.359, 0.075)
K (0.859, 0.141, 0.575)
K (0.960, 0.040, 0.156)
Sb (0.243, 0.757, 0.156)
Sb (0.257, 0.743, 0.656)
Sb (0.743, 0.257, 0.344)
Sb (0.757, 0.243, 0.844)
S (0.056, 0.444, 0.750)
S (0.086, 0.914, 0.634)
S (0.154, 0.846, 0.024)
S (0.346, 0.654, 0.524)
S (0.414, 0.586, 0.134)
S (0.444, 0.056, 0.250)
S (0.556, 0.944, 0.750)
S (0.586, 0.414, 0.866)
S (0.654, 0.346, 0.476)
S (0.846, 0.154, 0.976)
S (0.914, 0.086, 0.366)
S (0.944, 0.556, 0.250)

Entry 20:
Density functional theory data (PBE) for a geometry-optimized K2SbS3 structure.

Values from the calculation:
energy relative to the elements, uncorrected = -0.750 eV per atom
space group = C2/c, No. 15
N(E_F) = 2.15 states/eV per cell

a b c (Å): 7.614 7.614 7.071
angles (deg): 95.83 95.83 65.83
Positions (direct):
K (0.005, 0.312, 0.191)
K (0.312, 0.005, 0.691)
K (0.688, 0.995, 0.309)
K (0.995, 0.688, 0.809)
Sb (0.425, 0.575, 0.250)
Sb (0.575, 0.425, 0.750)
S (0.137, 0.863, 0.250)
S (0.338, 0.371, 0.480)
S (0.371, 0.338, 0.980)
S (0.629, 0.662, 0.020)
S (0.662, 0.629, 0.520)
S (0.863, 0.137, 0.750)

Entry 21:
Density functional theory data (PBE) for a geometry-optimized K3SbS structure.

Values from the calculation:
energy relative to the elements, uncorrected = -0.696 eV per atom
E above lowest polymorph = 0 meV/atom
space group = C2/m, No. 12
N(E_F) = 1.62 states/eV per cell

a b c (Å): 8.156 8.156 10.777
angles (deg): 97.80 97.80 31.20
Positions (direct):
K (0.054, 0.054, 0.127)
K (0.235, 0.235, 0.857)
K (0.413, 0.413, 0.361)
K (0.587, 0.587, 0.639)
K (0.765, 0.765, 0.143)
K (0.946, 0.946, 0.873)
Sb (0.197, 0.197, 0.440)
Sb (0.803, 0.803, 0.560)
S (0.393, 0.393, 0.081)
S (0.607, 0.607, 0.919)

Entry 22:
Density functional theory data (PBE) for a geometry-optimized K5SbS5 structure.

Values from the calculation:
energy relative to the elements, uncorrected = -0.771 eV per atom
space group = C2/m, No. 12
N(E_F) = 2.94 states/eV per cell

a b c (Å): 7.759 7.759 8.567
angles (deg): 107.50 107.50 45.85
Positions (direct):
K (0.000, 0.000, 0.000)
K (0.311, 0.311, 0.199)
K (0.329, 0.329, 0.651)
K (0.671, 0.671, 0.349)
K (0.689, 0.689, 0.801)
Sb (0.000, 0.000, 0.500)
S (0.128, 0.128, 0.359)
S (0.137, 0.137, 0.781)
S (0.500, 0.500, 0.500)
S (0.863, 0.863, 0.219)
S (0.872, 0.872, 0.641)

| no. | total DFT energy (no corrections) (eV per atom) |
| --- | --- |
| 1 | -6.541 |
| 2 | -7.306 |
| 3 | -6.600 |
| 4 | -6.219 |
| 5 | -6.609 |
| 6 | -3.832 |
| 7 | -3.512 |
| 8 | -3.931 |
| 9 | -3.910 |
| 10 | -3.897 |
| 11 | -3.712 |
| 12 | -3.631 |
| 13 | -2.235 |
| 14 | -3.781 |
| 15 | -3.782 |
| 16 | -3.226 |
| 17 | -3.694 |
| 18 | -3.980 |
| 19 | -3.867 |
| 20 | -3.867 |
| 21 | -3.004 |
| 22 | -3.521 |